Run A
This record from Alexandria describes crystalline KCaPtRh2 at its relaxed geometry. The functional is GGA-PBE.

abc: 5.010 5.243 5.010
angles: 90.00 90.00 90.00
Element x y z (fractional)
Pt (0.000, 0.000, 0.000)
K (0.500, 0.500, 0.500)
Rh (0.000, 0.000, 0.500)
Rh (0.500, 0.000, 0.000)
Ca (0.000, 0.500, 0.000)

Summary:
As for the total magnetic moment: 1.1 μB/cell.

Run B
This record from Alexandria describes crystalline KCaPtRh2 at its relaxed geometry. The functional is GGA-PBE.

abc: 4.778 5.223 4.778
angles: 90.00 90.00 90.00
Element x y z (fractional)
K (0.000, 0.000, 0.000)
Ca (0.500, 0.500, 0.500)
Rh (0.000, 0.000, 0.500)
Rh (0.500, 0.000, 0.000)
Pt (0.000, 0.500, 0.000)

Summary:
As for the total magnetic moment: 1.0 μB/cell.

Need the numbers? Relative energies in meV per atom: run A 0; run B 947.

Run A
This record from Alexandria describes crystalline KRb3Ca at its relaxed geometry. The functional is GGA-PBE.

abc: 7.969 7.969 7.969
angles: 90.00 90.00 90.00
Element x y z (fractional)
Rb (0.000, 0.500, 0.000)
Rb (0.000, 0.000, 0.500)
K (0.500, 0.500, 0.500)
Rb (0.500, 0.000, 0.000)
Ca (0.000, 0.000, 0.000)

Summary:
As for the total magnetic moment: 0.0 μB/cell.

Run B
This record from Alexandria describes crystalline KRb3Ca at its relaxed geometry. The functional is GGA-PBE.

abc: 7.651 7.651 7.651
angles: 90.00 90.00 90.00
Element x y z (fractional)
Rb (0.500, 0.000, 0.000)
K (0.000, 0.000, 0.000)
Rb (0.000, 0.500, 0.000)
Rb (0.000, 0.000, 0.500)
Ca (0.500, 0.500, 0.500)

Summary:
As for the total magnetic moment: 0.0 μB/cell.

Need the numbers? Relative energies in meV per atom: run A 0; run B 60.

Run A
This record from Alexandria describes crystalline KCaRe2 at its relaxed geometry. The functional is GGA-PBE.

abc: 4.363 4.363 9.046
angles: 86.75 86.75 42.99
Element x y z (fractional)
Ca (0.482, 0.482, 0.602)
K (0.263, 0.263, 0.182)
Re (0.736, 0.736, 0.814)
Re (0.020, 0.020, 0.902)

Summary:
As for the total magnetic moment: 0.0 μB/cell.

Run B
This record from Alexandria describes crystalline KCaRe2 at its relaxed geometry. The functional is GGA-PBE.

abc: 6.213 6.213 6.213
angles: 145.83 127.47 64.16
Element x y z (fractional)
Ca (0.509, 0.509, 0.000)
Re (0.952, 0.952, 0.000)
Re (0.813, 0.313, 0.500)
K (0.226, 0.726, 0.500)

Summary:
As for the total magnetic moment: 0.0 μB/cell.

Run C
This record from Alexandria describes crystalline KCaRe2 at its relaxed geometry. The functional is GGA-PBE.

abc: 3.949 3.949 7.322
angles: 90.00 90.00 90.00
Element x y z (fractional)
Re (0.000, 0.000, 0.099)
Re (0.000, 0.000, 0.401)
Ca (0.500, 0.500, 0.250)
K (0.500, 0.500, 0.750)

Summary:
As for the total magnetic moment: 0.0 μB/cell.

Need the numbers? Relative energies in meV per atom: run A 0; run B 251; run C 728.

Run A
This record from Alexandria describes crystalline KCaRe2 at its relaxed geometry. The functional is GGA-PBE.

abc: 3.410 4.208 5.441
angles: 90.00 90.00 90.00
Element x y z (fractional)
Re (0.000, 0.000, 0.000)
Ca (0.500, 0.000, 0.500)
Re (0.500, 0.500, 0.000)
K (0.000, 0.500, 0.500)

Summary:
As for the total magnetic moment: 0.0 μB/cell.

Run B
This record from Alexandria describes crystalline KCaRe2 at its relaxed geometry. The functional is GGA-PBE.

abc: 3.220 3.220 10.123
angles: 90.00 90.00 90.00
Element x y z (fractional)
Ca (0.000, 0.000, 0.413)
K (0.500, 0.500, 0.807)
Re (0.500, 0.500, 0.198)
Re (0.000, 0.000, 0.081)

Summary:
As for the total magnetic moment: 0.2 μB/cell.

Need the numbers? Relative energies in meV per atom: run A 610; run B 0.

Run A
This record from Alexandria describes crystalline KCaRe2 at its relaxed geometry. The functional is GGA-PBE.

abc: 4.823 4.823 4.823
angles: 60.00 60.00 60.00
Element x y z (fractional)
Re (0.000, 0.000, 0.000)
Re (0.250, 0.250, 0.250)
Ca (0.500, 0.500, 0.500)
K (0.750, 0.750, 0.750)

Summary:
As for the total magnetic moment: 0.0 μB/cell.

Run B
This record from Alexandria describes crystalline KCaRe2 at its relaxed geometry. The functional is GGA-PBE.

abc: 4.008 4.008 11.444
angles: 79.91 79.91 90.00
Element x y z (fractional)
Ca (0.750, 0.250, 0.500)
Ca (0.000, 0.000, 0.000)
Re (0.693, 0.625, 0.250)
Re (0.375, 0.943, 0.750)
K (0.250, 0.750, 0.500)
K (0.500, 0.500, 0.000)
Re (0.875, 0.307, 0.750)
Re (0.057, 0.125, 0.250)

Summary:
As for the total magnetic moment: 0.0 μB/cell.

Need the numbers? Relative energies in meV per atom: run A 0; run B 26.

Run A
This record from Alexandria describes crystalline KCaRe2 at its relaxed geometry. The functional is GGA-PBE.

abc: 2.912 2.912 11.229
angles: 90.00 90.00 111.28
Element x y z (fractional)
Ca (0.000, 0.000, 0.444)
Re (0.000, 0.000, 0.048)
K (0.500, 0.500, 0.786)
Re (0.500, 0.500, 0.222)

Summary:
As for the total magnetic moment: 0.0 μB/cell.

Run B
This record from Alexandria describes crystalline KCaRe2 at its relaxed geometry. The functional is GGA-PBE.

abc: 6.055 6.055 2.695
angles: 90.00 90.00 127.40
Element x y z (fractional)
Ca (0.500, 0.000, 0.500)
Re (0.500, 0.500, 0.000)
Re (0.000, 0.000, 0.000)
K (0.000, 0.500, 0.500)

Summary:
As for the total magnetic moment: 0.0 μB/cell.

Run C
This record from Alexandria describes crystalline KCaRe2 at its relaxed geometry. The functional is GGA-PBE.

abc: 6.090 6.090 4.260
angles: 69.25 69.25 31.94
Element x y z (fractional)
Ca (0.750, 0.750, 0.750)
Re (0.497, 0.497, 0.501)
K (0.250, 0.250, 0.250)
Re (0.003, 0.003, 0.999)

Summary:
As for the total magnetic moment: 0.0 μB/cell.

Run D
This record from Alexandria describes crystalline KCaRe2 at its relaxed geometry. The functional is GGA-PBE.

abc: 2.704 2.704 10.971
angles: 90.00 90.00 90.00
Element x y z (fractional)
Re (0.000, 0.000, 0.021)
Re (0.000, 0.000, 0.479)
K (0.500, 0.500, 0.750)
Ca (0.500, 0.500, 0.250)

Summary:
As for the total magnetic moment: 0.0 μB/cell.

Need the numbers? Relative energies in meV per atom: run A 0; run B 222; run C 205; run D 121.

Run A
This record from Alexandria describes crystalline KCaRe2 at its relaxed geometry. The functional is GGA-PBE.

abc: 11.253 11.253 11.253
angles: 14.67 14.67 14.67
Element x y z (fractional)
Ca (0.250, 0.250, 0.250)
Re (0.506, 0.506, 0.506)
Re (0.994, 0.994, 0.994)
K (0.750, 0.750, 0.750)

Summary:
As for the total magnetic moment: 0.0 μB/cell.

Run B
This record from Alexandria describes crystalline KCaRe2 at its relaxed geometry. The functional is GGA-PBE.

abc: 2.738 2.738 11.013
angles: 90.00 90.00 105.10
Element x y z (fractional)
K (0.500, 0.500, 0.750)
Ca (0.500, 0.500, 0.250)
Re (0.000, 0.000, 0.020)
Re (0.000, 0.000, 0.480)

Summary:
As for the total magnetic moment: 0.0 μB/cell.

Run C
This record from Alexandria describes crystalline KCaRe2 at its relaxed geometry. The functional is GGA-PBE.

abc: 2.667 5.186 7.243
angles: 90.00 90.00 90.00
Element x y z (fractional)
K (0.500, 0.500, 0.750)
Ca (0.500, 0.500, 0.250)
Re (0.000, 0.000, 0.413)
Re (0.000, 0.000, 0.087)

Summary:
As for the total magnetic moment: 0.0 μB/cell.

Run D
This record from Alexandria describes crystalline KCaRe2 at its relaxed geometry. The functional is GGA-PBE.

abc: 5.110 5.110 5.110
angles: 60.00 60.00 60.00
Element x y z (fractional)
Re (0.750, 0.750, 0.750)
Re (0.250, 0.250, 0.250)
Ca (0.500, 0.500, 0.500)
K (0.000, 0.000, 0.000)

Summary:
As for the total magnetic moment: 5.1 μB/cell.

Need the numbers? Relative energies in meV per atom: run A 214; run B 117; run C 0; run D 1248.

Run A
This record from Alexandria describes crystalline K2CaRe at its relaxed geometry. The functional is GGA-PBE.

abc: 5.830 5.830 5.830
angles: 60.00 60.00 60.00
Element x y z (fractional)
Re (0.500, 0.500, 0.500)
K (0.250, 0.250, 0.250)
K (0.750, 0.750, 0.750)
Ca (0.000, 0.000, 0.000)

Summary:
As for the total magnetic moment: 2.9 μB/cell.

Run B
This record from Alexandria describes crystalline K2CaRe at its relaxed geometry. The functional is GGA-PBE.

abc: 6.981 6.981 6.981
angles: 140.37 140.37 57.29
Element x y z (fractional)
Ca (0.750, 0.250, 0.500)
Re (0.250, 0.750, 0.500)
K (0.000, 0.000, 0.000)
K (0.500, 0.500, 0.000)

Summary:
As for the total magnetic moment: 3.0 μB/cell.

Run C
This record from Alexandria describes crystalline K2CaRe at its relaxed geometry. The functional is GGA-PBE.

abc: 3.026 3.026 13.102
angles: 90.00 90.00 90.23
Element x y z (fractional)
Ca (0.500, 0.500, 0.750)
K (0.000, 0.000, 0.043)
Re (0.500, 0.500, 0.250)
K (0.000, 0.000, 0.457)

Summary:
As for the total magnetic moment: 0.0 μB/cell.

Need the numbers? Relative energies in meV per atom: run A 198; run B 46; run C 0.

Run A
This record from Alexandria describes crystalline K2CaRe at its relaxed geometry. The functional is GGA-PBE.

abc: 3.235 3.235 12.757
angles: 90.00 90.00 90.02
Element x y z (fractional)
Ca (0.500, 0.500, 0.679)
K (0.500, 0.500, 0.316)
Re (0.000, 0.000, 0.522)
K (0.000, 0.000, 0.983)

Summary:
As for the total magnetic moment: 0.3 μB/cell.

Run B
This record from Alexandria describes crystalline K2CaRe at its relaxed geometry. The functional is GGA-PBE.

abc: 5.321 5.321 9.544
angles: 87.78 87.78 32.33
Element x y z (fractional)
Ca (0.235, 0.235, 0.331)
K (0.000, 0.000, 0.066)
K (0.763, 0.763, 0.680)
Re (0.501, 0.501, 0.423)

Summary:
As for the total magnetic moment: 0.7 μB/cell.

Run C
This record from Alexandria describes crystalline K2CaRe at its relaxed geometry. The functional is GGA-PBE.

abc: 7.268 7.268 3.010
angles: 78.72 78.72 126.68
Element x y z (fractional)
K (0.000, 0.000, 0.000)
Re (0.500, 0.000, 0.500)
Ca (0.000, 0.500, 0.500)
K (0.500, 0.500, 0.000)

Summary:
As for the total magnetic moment: 0.3 μB/cell.

Run D
This record from Alexandria describes crystalline K2CaRe at its relaxed geometry. The functional is GGA-PBE.

abc: 10.590 10.590 10.590
angles: 163.69 151.68 32.85
Element x y z (fractional)
Ca (0.250, 0.750, 0.500)
K (0.902, 0.902, 0.000)
Re (0.750, 0.250, 0.500)
K (0.598, 0.598, 0.000)

Summary:
As for the total magnetic moment: 0.6 μB/cell.

Need the numbers? Relative energies in meV per atom: run A 27; run B 103; run C 283; run D 0.

Run A
This record from Alexandria describes crystalline K2CaRe at its relaxed geometry. The functional is GGA-PBE.

abc: 13.419 13.419 13.419
angles: 13.70 13.70 13.70
Element x y z (fractional)
Ca (0.750, 0.750, 0.750)
Re (0.250, 0.250, 0.250)
K (0.987, 0.987, 0.987)
K (0.513, 0.513, 0.513)

Summary:
As for the total magnetic moment: 0.1 μB/cell.

Run B
This record from Alexandria describes crystalline K2CaRe at its relaxed geometry. The functional is GGA-PBE.

abc: 2.980 4.786 9.993
angles: 90.00 90.00 90.00
Element x y z (fractional)
K (0.000, 0.000, 0.938)
Ca (0.500, 0.500, 0.668)
Re (0.000, 0.000, 0.567)
K (0.500, 0.500, 0.326)

Summary:
As for the total magnetic moment: 0.0 μB/cell.

Need the numbers? Relative energies in meV per atom: run A 320; run B 0.

Run A
This record from Alexandria describes crystalline KCa3Re at its relaxed geometry. The functional is GGA-PBE.

abc: 5.733 5.733 5.733
angles: 90.00 90.00 90.00
Element x y z (fractional)
Ca (0.000, 0.000, 0.500)
Ca (0.500, 0.000, 0.000)
Ca (0.000, 0.500, 0.000)
K (0.500, 0.500, 0.500)
Re (0.000, 0.000, 0.000)

Summary:
As for the total magnetic moment: 0.0 μB/cell.

Run B
This record from Alexandria describes crystalline KCa3Re at its relaxed geometry. The functional is GGA-PBE.

abc: 5.275 5.275 5.275
angles: 90.00 90.00 90.00
Element x y z (fractional)
Re (0.500, 0.500, 0.500)
Ca (0.500, 0.000, 0.000)
Ca (0.000, 0.000, 0.500)
K (0.000, 0.000, 0.000)
Ca (0.000, 0.500, 0.000)

Summary:
As for the total magnetic moment: 0.0 μB/cell.

Need the numbers? Relative energies in meV per atom: run A 0; run B 1393.